(1)
DFT (SCAN) results for a PBEsol-optimized structure of YAg2Hg.

Calculated values
formation energy from the elements: -0.36 eV/atom

abc: 4.5581 4.5581 7.7758
angles: 90.00 90.00 90.00
Closest atoms and distances in Å follow each position.
Space group I-4m2 (No. 119)
Inequivalent atoms, fractional coordinates:
Y 0.0000 0.0000 0.0000 [2 per cell]  4 Hg 3.00, 8 Ag 3.00-3.22
Ag 0.0000 0.0000 0.5000 [2 per cell]  4 Hg 3.00, 4 Ag 3.00, 4 Y 3.22
Ag 0.0000 0.5000 0.7500 [2 per cell]  4 Ag 3.00, 4 Y 3.00, 4 Hg 3.22
Hg 0.0000 0.5000 0.2500 [2 per cell]  4 Y 3.00, 8 Ag 3.00-3.22

***

(2)
DFT (SCAN) results for a PBEsol-optimized structure of Y2Ag2Hg.

Calculated values
formation energy from the elements: -0.45 eV/atom

abc: 7.7512 7.7512 3.7615
angles: 90.00 90.00 90.00
Closest atoms and distances in Å follow each position.
Space group P4/mbm (No. 127)
Inequivalent atoms, fractional coordinates:
Y 0.1751 0.3249 0.0000 [4 per cell]  6 Ag 2.89-3.02
Ag 0.1249 0.6249 0.5000 [4 per cell]  1 Ag 2.74, 6 Y 2.89-3.02, 2 Hg 3.06
Hg 0.0000 0.0000 0.5000 [2 per cell]  4 Ag 3.06, 8 Y 3.42

***

(3)
DFT (SCAN) results for a PBEsol-optimized structure of YAg2Hg.

Calculated values
formation energy from the elements: -0.30 eV/atom

abc: 3.5115 3.5115 6.6343
angles: 90.00 90.00 90.00
Closest atoms and distances in Å follow each position.
Space group P4mm (No. 99)
Inequivalent atoms, fractional coordinates:
Y 0.0000 0.0000 0.0000 [1 per cell]  6 Ag 3.06-3.42, 4 Hg 3.11
Ag 0.0000 0.0000 0.4842 [1 per cell]  4 Ag 2.86, 4 Hg 2.93
Ag 0.5000 0.5000 0.2706 [1 per cell]  4 Ag 2.86, 1 Hg 2.97, 4 Y 3.06
Hg 0.5000 0.5000 0.7177 [1 per cell]  5 Ag 2.93-2.97, 4 Y 3.11

***

(4)
DFT (SCAN) results for a PBEsol-optimized structure of ZnAg2Hg.

Calculated values
formation energy from the elements: 0.05 eV/atom

abc: 3.0355 3.0355 7.3684
angles: 90.00 90.00 90.00
Closest atoms and distances in Å follow each position.
Space group P4mm (No. 99)
Inequivalent atoms, fractional coordinates:
Zn 0.0000 0.0000 0.0000 [1 per cell]  4 Ag 2.68, 4 Hg 2.86
Ag 0.0000 0.0000 0.4712 [1 per cell]  8 Ag 2.84-3.04, 4 Hg 2.94
Ag 0.5000 0.5000 0.2185 [1 per cell]  4 Zn 2.68, 4 Ag 2.84
Hg 0.5000 0.5000 0.7435 [1 per cell]  4 Zn 2.86, 4 Ag 2.94, 4 Hg 3.04

***

(5)
DFT (SCAN) results for a PBEsol-optimized structure of ZnAg2Hg.

Calculated values
formation energy from the elements: 0.03 eV/atom

abc: 3.0225 3.0225 7.3732
angles: 90.00 90.00 90.00
Closest atoms and distances in Å follow each position.
Space group P4/mmm (No. 123)
Inequivalent atoms, fractional coordinates:
Zn 0.0000 0.0000 0.0000 [1 per cell]  8 Ag 2.69
Ag 0.5000 0.5000 0.2217 [2 per cell]  4 Zn 2.69, 4 Hg 2.96
Hg 0.0000 0.0000 0.5000 [1 per cell]  8 Ag 2.96, 4 Hg 3.02

***

(6)
DFT (SCAN) results for a PBEsol-optimized structure of ZnAg2Hg.

Calculated values
formation energy from the elements: 0.05 eV/atom

abc: 4.0347 4.0347 8.3132
angles: 90.00 90.00 90.00
Closest atoms and distances in Å follow each position.
Space group I4/mmm (No. 139)
Inequivalent atoms, fractional coordinates:
Zn 0.0000 0.0000 0.0000 [2 per cell]  4 Hg 2.85, 8 Ag 2.90
Ag 0.0000 0.5000 0.2500 [4 per cell]  4 Ag 2.85, 4 Hg 2.90, 4 Zn 2.90
Hg 0.0000 0.0000 0.5000 [2 per cell]  4 Zn 2.85, 8 Ag 2.90

***

(7)
DFT (SCAN) results for a PBEsol-optimized structure of ZnAg2Hg.

Calculated values
formation energy from the elements: 0.04 eV/atom

abc: 9.5649 2.9679 4.9434
angles: 90.00 104.63 90.00
Closest atoms and distances in Å follow each position.
Space group C2/m (No. 12)
Inequivalent atoms, fractional coordinates:
Zn 0.0000 0.0000 0.0000 [2 per cell]  6 Ag 2.72-3.03, 4 Hg 2.88, 2 Zn 2.97
Ag 0.2370 0.5000 0.2369 [4 per cell]  3 Zn 2.72-3.03, 6 Ag 2.84-2.97, 3 Hg 2.88-2.93
Hg 0.0000 0.5000 0.5000 [2 per cell]  4 Zn 2.88, 6 Ag 2.88-2.93, 2 Hg 2.97

***

(8)
DFT (SCAN) results for a PBEsol-optimized structure of ZnAg2Hg.

Calculated values
formation energy from the elements: 0.05 eV/atom

abc: 4.0246 4.0246 8.3815
angles: 90.00 90.00 90.00
Closest atoms and distances in Å follow each position.
Space group I-4m2 (No. 119)
Inequivalent atoms, fractional coordinates:
Zn 0.0000 0.0000 0.0000 [2 per cell]  8 Ag 2.85-2.91, 4 Hg 2.91
Ag 0.0000 0.0000 0.5000 [2 per cell]  4 Zn 2.85, 4 Hg 2.91, 4 Ag 2.91
Ag 0.0000 0.5000 0.2500 [2 per cell]  4 Hg 2.85, 4 Zn 2.91, 4 Ag 2.91
Hg 0.0000 0.5000 0.7500 [2 per cell]  8 Ag 2.85-2.91, 4 Zn 2.91

***

(9)
DFT (SCAN) results for a PBEsol-optimized structure of ZnAgHg3.

Calculated values
formation energy from the elements: 0.35 eV/atom

abc: 4.9975 4.9975 4.9975
angles: 90.00 90.00 90.00
Closest atoms and distances in Å follow each position.
Space group Pm-3m (No. 221)
Inequivalent atoms, fractional coordinates:
Zn 0.0000 0.0000 0.0000 [1 per cell]  6 Hg 2.50
Ag 0.5000 0.5000 0.5000 [1 per cell]  12 Hg 3.53
Hg 0.0000 0.0000 0.5000 [3 per cell]  2 Zn 2.50

***

(10)
DFT (SCAN) results for a PBEsol-optimized structure of ZnAg2Hg.

Calculated values
formation energy from the elements: 0.06 eV/atom

abc: 2.8865 4.2647 5.6258
angles: 90.00 101.16 90.00
Closest atoms and distances in Å follow each position.
Space group P2/m (No. 10)
Inequivalent atoms, fractional coordinates:
Zn 0.0000 0.0000 0.0000 [1 per cell]  4 Ag 2.66, 2 Hg 2.81, 2 Zn 2.89
Ag 0.4121 0.5000 0.2338 [2 per cell]  2 Zn 2.66, 4 Ag 2.77-2.94, 2 Hg 2.95
Hg 0.0000 0.0000 0.5000 [1 per cell]  2 Zn 2.81, 2 Hg 2.89, 8 Ag 2.95-2.98

***

(11)
DFT (SCAN) results for a PBEsol-optimized structure of ZnAg2Hg.

Calculated values
formation energy from the elements: 0.04 eV/atom

abc: 2.9314 4.1739 5.7894
angles: 90.00 104.05 90.00
Closest atoms and distances in Å follow each position.
Space group Pm (No. 6)
Inequivalent atoms, fractional coordinates:
Zn 0.0000 0.0000 0.0000 [1 per cell]  5 Ag 2.61-2.76, 2 Hg 2.67
Ag 0.2203 0.0000 0.4642 [1 per cell]  1 Zn 2.61, 4 Hg 2.89
Ag 0.5864 0.5000 0.1874 [1 per cell]  4 Zn 2.75-2.76, 2 Hg 2.91-3.05, 6 Ag 2.93-2.99
Hg 0.8359 0.5000 0.7051 [1 per cell]  2 Zn 2.67, 5 Ag 2.89-2.91, 2 Hg 2.93

***

(12)
DFT (SCAN) results for a PBEsol-optimized structure of ZnAg2Hg.

Calculated values
formation energy from the elements: 0.06 eV/atom

abc: 9.6767 2.9165 4.9427
angles: 90.00 102.78 90.00
Closest atoms and distances in Å follow each position.
Space group Cm (No. 8)
Inequivalent atoms, fractional coordinates:
Zn 0.0000 0.0000 0.0000 [2 per cell]  7 Ag 2.74-3.03, 3 Hg 2.83-3.01, 2 Zn 2.92
Ag 0.0067 0.5000 0.5207 [2 per cell]  4 Zn 2.79-2.95, 5 Ag 2.87-2.92, 3 Hg 2.89-2.97
Ag 0.2643 0.0000 0.7669 [2 per cell]  3 Zn 2.74-3.03, 4 Hg 2.87-2.89, 5 Ag 2.87-2.92
Hg 0.2448 0.5000 0.2561 [2 per cell]  3 Zn 2.83-3.01, 7 Ag 2.87-2.97, 2 Hg 2.92

***

These records have magnetization values of 0.000; 0.000; 0.000; 0.000; 0.000; 0.000; 0.000; 0.000; 0.000; 0.000; 0.000; 0.000 μB per atom, in the order they appear.
These records have density of states at the Fermi level values of 1.8; 3.5; 1.6; 1.0; 1.1; 1.0; 1.0; 1.0; 1.5; 1.1; 1.0; 0.9 states/eV/f.u., in the order they appear.